This record from Alexandria via LeMat-Bulk describes a relaxed SbOsCl2 crystal. The functional is PBE-GGA.

Computed properties:
- Crystal system: orthorhombic
- DFT total energy: -4.651 eV/atom
- Distance to the lowest polymorph of the same formula: 87 meV/atom
- Volume: 115 Å³ per cell
- Formation energy without anion corrections: 0.1101 eV/atom
- Theoretical density: 5.520 g cm⁻³

a b c (Å): 3.579 6.739 6.741
angles (deg): 45.12 90.00 90.00
Fractional coordinates of all 4 atoms:
Os: 0.500 0.250 0.250
Sb: 0.500 0.750 0.750
Cl: 0.000 0.380 0.380
Cl: 0.000 0.120 0.120